The following is a GGA-PBE calculation of a geometry-optimized SrNF6 structure, from Alexandria.

The calculation puts the uncorrected formation energy at -1.170 eV/atom. Its volume is 501 Å³/cell.

Unit cell a=10.8280 b=8.4844 c=7.3635 alpha=90.00 beta=132.22 gamma=90.00
Space group C2/m (No. 12)
One atom of each set of equivalent atoms:
Sr 0.2500 0.2500 0.0000
N 0.2500 0.2500 0.5000
F 0.1057 0.2454 0.5117
F 0.1066 0.2569 0.2007
F 0.1691 0.0000 0.9068
F 0.2314 0.5000 0.5048



The following is a GGA-PBE calculation of a geometry-optimized Ba2ThBiS6 structure, from Alexandria.

The calculation puts the uncorrected formation energy at -1.460 eV/atom. Its volume is 591 Å³/cell.

Unit cell a=7.3260 b=7.6605 c=12.7557 alpha=90.00 beta=124.42 gamma=90.00
Space group P2_1/c (No. 14)
One atom of each set of equivalent atoms:
Ba 0.2247 0.0700 0.2476
Th 0.5000 0.0000 0.0000
Bi 0.0000 0.0000 0.5000
S 0.1474 0.2007 0.9498
S 0.2487 0.7016 0.9465
S 0.3501 0.0283 0.7491



The following is a GGA-PBE calculation of a geometry-optimized La3HfBr structure, from Alexandria.

The calculation puts the uncorrected formation energy at 0.030 eV/atom. The energy relative to the lowest polymorph listed for this composition comes out at 0.0000 eV/atom. Its volume is 177 Å³/cell.

Unit cell a=5.6132 b=5.6132 c=5.6132 alpha=90.00 beta=90.00 gamma=90.00
Space group Pm-3m (No. 221)
One atom of each set of equivalent atoms:
La 0.0000 0.0000 0.5000
Hf 0.5000 0.5000 0.5000
Br 0.0000 0.0000 0.0000



The following is a GGA-PBE calculation of a geometry-optimized LiCeHg2 structure, from Alexandria.

Its volume is 100 Å³/cell. The total energy comes out at -2.382 eV/atom.

Unit cell a=5.3409 b=5.3409 c=3.5046 alpha=90.00 beta=90.00 gamma=90.00
Space group P4/mmm (No. 123)
One atom of each set of equivalent atoms:
Li 0.0000 0.0000 0.0000
Ce 0.5000 0.5000 0.0000
Hg 0.0000 0.5000 0.5000



The following is a GGA-PBE calculation of a geometry-optimized Sm3CoHg structure, from Alexandria.

The energy relative to the lowest polymorph listed for this composition comes out at 0.0107 eV/atom. Its volume is 271 Å³/cell.

Unit cell a=8.6203 b=3.8821 c=8.6493 alpha=90.00 beta=110.77 gamma=90.00
Space group P2_1/m (No. 11)
One atom of each set of equivalent atoms:
Sm 0.0380 0.2500 0.1800
Sm 0.2380 0.7500 0.5468
Sm 0.3908 0.7500 0.1894
Co 0.4195 0.2500 0.4399
Hg 0.2566 0.2500 0.8605



The following is a GGA-PBE calculation of a geometry-optimized KPCl structure, from Alexandria.

The calculation puts the uncorrected formation energy at -0.027 eV/atom. The energy relative to the lowest polymorph listed for this composition comes out at 0.0262 eV/atom. Its volume is 76 Å³/cell.

Unit cell a=5.0464 b=5.0464 c=3.4683 alpha=90.00 beta=90.00 gamma=120.00
Space group P-6m2 (No. 187)
One atom of each set of equivalent atoms:
K 0.0000 0.0000 0.0000
P 0.6667 0.3333 0.5000
Cl 0.3333 0.6667 0.5000